# 1
Material: Ce2CoCuAu
Method: DFT, PBE
State: optimized geometry

Output
Symmetry = P2_1/m
Theoretical density = 9.6 Mg/m³
Formation energy = -0.348 eV/atom
N(E_F) = 1.65 states/eV per atom

Unit cell a=7.542 b=3.879 c=7.646 alpha=90.00 beta=112.64 gamma=90.00
Element x y z (fractional)
Ce  0.009  0.250  0.218
Ce  0.354  0.750  0.630
Ce  0.646  0.250  0.370
Ce  0.991  0.750  0.782
Co  0.101  0.250  0.613
Co  0.899  0.750  0.387
Cu  0.368  0.250  0.943
Cu  0.632  0.750  0.057
Au  0.317  0.750  0.184
Au  0.683  0.250  0.816

---

# 2
Material: Ag2GeSb
Method: DFT, PBE
State: optimized geometry

Output
Symmetry = P4/mmm
Theoretical density = 8.1 Mg/m³
Energy relative to the elements, uncorrected = 0.19 eV per atom
N(E_F) = 0.25 states/eV per atom

Unit cell a=3.537 b=3.537 c=6.682 alpha=90.00 beta=90.00 gamma=90.00
Element x y z (fractional)
Ag  0.000  0.000  0.224
Ag  0.000  0.000  0.776
Ge  0.500  0.500  0.000
Sb  0.500  0.500  0.500

---

Question: Among the records above, which one has the lowest N(E_F)?
Answer: Ag2GeSb

---

Question: Which formula does entry 2 have?
Answer: Ag2GeSb

---

Question: Look up the N(E_F) of the second one.
Answer: 0.25 states/eV per atom

---

Question: What is the formula in the second record?
Answer: Ag2GeSb